Below is crystalline HoThScZn at its relaxed geometry, with properties calculated at the PBE-GGA level.

Unit cell a=7.4333 b=7.4333 c=7.4333 alpha=90.00 beta=90.00 gamma=90.00
Space group F-43m (No. 216)
One atom of each set of equivalent atoms:
Ho  0.0000  0.0000  0.0000 x4
Th  0.0000  0.0000  0.5000 x4
Sc  0.2500  0.2500  0.2500 x4
Zn  0.2500  0.2500  0.7500 x4

- E: -4.87 eV/atom
- Crystal system: cubic
- Distance to the lowest polymorph of the same formula: 0.197 eV/atom
- Energy relative to the elements: 29 meV per atom
- Size of the total moment: 4.273 Bohr magnetons per cell